(1)
First-principles (PBE-GGA) data for crystalline FeAgRhC2 at its relaxed geometry, as listed in Alexandria.

```
data_FeAgRhC2
_chemical_formula_sum 'Fe1 Ag1 Rh1 C2'
_symmetry_space_group_name_H-M 'P 4/m m m'
_symmetry_Int_Tables_number 123
_symmetry_space_group_name_Hall '-P 4 2'
_cell_length_a 3.9153
_cell_length_b 3.9153
_cell_length_c 5.1302
_cell_angle_alpha 90.00
_cell_angle_beta 90.00
_cell_angle_gamma 90.00
loop_
_atom_site_label
_atom_site_type_symbol
_atom_site_fract_x
_atom_site_fract_y
_atom_site_fract_z
Fe1 Fe 0.0000 0.0000 0.0000
Ag1 Ag 0.5000 0.5000 0.5000
Rh1 Rh 0.5000 0.5000 0.0000
C1 C 0.0000 0.5000 0.5000
```

Output
- Magnetic moment: 0.25 Bohr magnetons per cell

---

(2)
First-principles (PBE-GGA) data for crystalline FeAgRh2C at its relaxed geometry, as listed in Alexandria.

```
data_FeAgRh2C
_chemical_formula_sum 'Fe1 Ag1 Rh2 C1'
_symmetry_space_group_name_H-M 'P 4/m m m'
_symmetry_Int_Tables_number 123
_symmetry_space_group_name_Hall '-P 4 2'
_cell_length_a 4.0821
_cell_length_b 4.0821
_cell_length_c 3.9673
_cell_angle_alpha 90.00
_cell_angle_beta 90.00
_cell_angle_gamma 90.00
loop_
_atom_site_label
_atom_site_type_symbol
_atom_site_fract_x
_atom_site_fract_y
_atom_site_fract_z
Fe1 Fe 0.0000 0.0000 0.0000
Ag1 Ag 0.5000 0.5000 0.0000
Rh1 Rh 0.0000 0.5000 0.5000
C1 C 0.0000 0.0000 0.5000
```

Output
- Magnetic moment: 3.00 Bohr magnetons per cell

---

(3)
First-principles (PBE-GGA) data for crystalline Fe2AgWC at its relaxed geometry, as listed in Alexandria.

```
data_Fe2AgWC
_chemical_formula_sum 'Fe2 Ag1 W1 C1'
_symmetry_space_group_name_H-M 'P 4/m m m'
_symmetry_Int_Tables_number 123
_symmetry_space_group_name_Hall '-P 4 2'
_cell_length_a 4.6634
_cell_length_b 4.6634
_cell_length_c 4.0143
_cell_angle_alpha 90.00
_cell_angle_beta 90.00
_cell_angle_gamma 90.00
loop_
_atom_site_label
_atom_site_type_symbol
_atom_site_fract_x
_atom_site_fract_y
_atom_site_fract_z
Fe1 Fe 0.0000 0.5000 0.0000
Ag1 Ag 0.0000 0.0000 0.5000
W1 W 0.5000 0.5000 0.0000
C1 C 0.5000 0.5000 0.5000
```

Output
- Magnetic moment: 4.74 Bohr magnetons per cell

---

(4)
First-principles (PBE-GGA) data for crystalline Zr2FeAgC at its relaxed geometry, as listed in Alexandria.

```
data_Zr2FeAgC
_chemical_formula_sum 'Zr2 Fe1 Ag1 C1'
_symmetry_space_group_name_H-M 'P 4/m m m'
_symmetry_Int_Tables_number 123
_symmetry_space_group_name_Hall '-P 4 2'
_cell_length_a 4.6450
_cell_length_b 4.6450
_cell_length_c 4.6615
_cell_angle_alpha 90.00
_cell_angle_beta 90.00
_cell_angle_gamma 90.00
loop_
_atom_site_label
_atom_site_type_symbol
_atom_site_fract_x
_atom_site_fract_y
_atom_site_fract_z
Zr1 Zr 0.0000 0.5000 0.0000
Fe1 Fe 0.0000 0.0000 0.0000
Ag1 Ag 0.0000 0.0000 0.5000
C1 C 0.5000 0.5000 0.5000
```

Output
- E above lowest polymorph: 1766 meV/atom
- Magnetic moment: 0.00 Bohr magnetons per cell

---

Number 1: energy relative to the elements 3.03 eV/atom. Number 2: energy relative to the elements 0.19 eV/atom. Number 3: energy relative to the elements 1.65 eV/atom. Number 4: energy relative to the elements 1.50 eV/atom.